# 1
The following is a DFT calculation (PBE) of an optimized crystal structure of Cs4TmBr7.

Geometry as POSCAR:
```
Cs4TmBr7
1.0
-1.081 3.036 4.436
-9.980 5.180 -2.588
-5.673 -5.491 5.764
Br Tm Cs
7 1 4
direct
0.625 0.491 0.259
0.726 0.893 0.655
0.274 0.107 0.345
0.500 0.000 0.000
0.046 0.783 0.124
0.375 0.509 0.741
0.954 0.217 0.876
0.000 0.000 0.000
0.269 0.361 0.101
0.731 0.639 0.899
0.610 0.239 0.542
0.390 0.761 0.458
```

Volume ... 576 Å³/cell
Energy relative to the elements, uncorrected ... -1.6070 eV per atom
DFT total energy ... -3.240 eV per atom

# 2
The following is a DFT calculation (PBE) of an optimized crystal structure of Cs3Tm2Br9.

Geometry as POSCAR:
```
Cs3Tm2Br9
1.0
-9.204 -4.486 1.977
0.246 -6.936 -7.784
3.649 -8.039 5.550
Br Cs Tm
18 6 4
direct
0.405 0.095 0.250
0.266 0.086 0.923
0.077 0.734 0.914
0.095 0.250 0.405
0.250 0.405 0.095
0.595 0.905 0.750
0.750 0.595 0.905
0.766 0.423 0.586
0.234 0.577 0.414
0.734 0.914 0.077
0.423 0.586 0.766
0.586 0.766 0.423
0.923 0.266 0.086
0.414 0.234 0.577
0.914 0.077 0.734
0.905 0.750 0.595
0.086 0.923 0.266
0.577 0.414 0.234
0.250 0.911 0.589
0.411 0.750 0.089
0.911 0.589 0.250
0.750 0.089 0.411
0.589 0.250 0.911
0.089 0.411 0.750
0.154 0.154 0.154
0.654 0.654 0.654
0.346 0.346 0.346
0.846 0.846 0.846
```

Volume ... 1110 Å³/cell
Energy relative to the elements, uncorrected ... -1.8914 eV per atom
DFT total energy ... -3.789 eV per atom

# 3
The following is a DFT calculation (PBE) of an optimized crystal structure of Cs6Tm3Br14.

Geometry as POSCAR:
```
Cs6Tm3Br14
1.0
7.378 0.000 0.000
0.000 11.406 -6.585
0.000 0.000 13.171
Cs Br Tm
6 14 3
direct
0.780 0.557 0.573
0.250 0.785 0.088
0.250 0.303 0.215
0.780 0.427 0.984
0.250 0.912 0.697
0.780 0.016 0.443
0.688 0.729 0.198
0.487 0.543 0.809
0.964 0.799 0.858
0.267 0.530 0.132
0.487 0.191 0.734
0.688 0.802 0.532
0.994 0.333 0.667
0.487 0.266 0.457
0.964 0.059 0.201
0.267 0.868 0.398
0.688 0.468 0.271
0.964 0.142 0.941
0.267 0.602 0.470
0.432 0.000 0.000
0.474 0.667 0.333
0.352 0.333 0.667
0.785 0.000 0.000
```

Volume ... 1108 Å³/cell
Energy relative to the elements, uncorrected ... -1.7546 eV per atom
DFT total energy ... -3.579 eV per atom

# 4
The following is a DFT calculation (PBE) of an optimized crystal structure of CsTm2Br7.

Geometry as POSCAR:
```
CsTm2Br7
1.0
-4.254 3.284 1.413
-0.857 -4.268 7.336
5.219 6.748 0.029
Br Cs Tm
7 1 2
direct
0.500 0.047 0.330
0.500 0.670 0.953
0.000 0.299 0.701
0.500 0.500 0.500
0.000 0.701 0.299
0.500 0.953 0.670
0.500 0.330 0.047
0.000 0.000 0.000
0.500 0.697 0.303
0.500 0.303 0.697
```

Volume ... 360 Å³/cell
Energy relative to the elements, uncorrected ... -1.8110 eV per atom
DFT total energy ... -3.962 eV per atom